A relaxed Cs2LiCr crystal. Source: the Alexandria database, functional PBE.

Output
Magnetization (μB per atom): 1.247
Energy of formation (eV/atom): 0.761

a b c (Å): 6.717 6.717 6.717
angles (deg): 60.00 60.00 60.00
Last column: magnetic moment on the atom in μB.
Positions (direct):
Cs  0.250  0.250  0.250  0.01
Cs  0.750  0.750  0.750  0.01
Cr  0.500  0.500  0.500  4.24
Li  0.000  0.000  0.000  -0.03